1.
# Cs3Zn2SnF9, optimized geometry, DFT PBE-GGA
data_Cs3Zn2SnF9
_chemical_formula_sum 'Cs3 Zn2 Sn1 F9'
_cell_length_a 6.2750
_cell_length_b 6.2750
_cell_length_c 7.7310
_cell_angle_alpha 90.00
_cell_angle_beta 90.00
_cell_angle_gamma 120.00
_space_group_name_H-M_alt 'P -3 m 1'
_space_group_IT_number 164
_space_group_name_Hall '-P 3 2"'
loop_
_atom_site_label
_atom_site_type_symbol
_atom_site_fract_x
_atom_site_fract_y
_atom_site_fract_z
Cs1 Cs 0.0000 0.0000 0.0000
Cs2 Cs 0.3333 0.6667 0.6729
Zn1 Zn 0.3333 0.6667 0.1535
Sn1 Sn 0.0000 0.0000 0.5000
F1 F 0.0000 0.5000 0.0000
F2 F 0.1786 0.3572 0.3142
# - electronic total energy (hartree per atom) = -0.155

***

2.
# Cs2ZrSnF6, optimized geometry, DFT PBE-GGA
data_Cs2ZrSnF6
_chemical_formula_sum 'Cs4 Zr2 Sn2 F12'
_cell_length_a 6.469
_cell_length_b 6.469
_cell_length_c 12.465
_cell_angle_alpha 90.00
_cell_angle_beta 90.00
_cell_angle_gamma 90.00
_space_group_name_H-M_alt 'I 4/m m m'
_space_group_IT_number 139
_space_group_name_Hall '-I 4 2'
loop_
_atom_site_label
_atom_site_type_symbol
_atom_site_fract_x
_atom_site_fract_y
_atom_site_fract_z
Cs1 Cs 0.000 0.500 0.250
Zr1 Zr 0.000 0.000 0.000
Sn1 Sn 0.000 0.000 0.500
F1 F 0.000 0.000 0.164
F2 F 0.223 0.223 0.000
# - electronic total energy (hartree per atom) = -0.195

***

3.
# Cs3SrF, optimized geometry, DFT PBE-GGA
data_Cs3SrF
_chemical_formula_sum 'Cs3 Sr1 F1'
_cell_length_a 6.578
_cell_length_b 6.578
_cell_length_c 6.578
_cell_angle_alpha 90.00
_cell_angle_beta 90.00
_cell_angle_gamma 90.00
_space_group_name_H-M_alt 'P m -3 m'
_space_group_IT_number 221
_space_group_name_Hall '-P 4 2 3'
loop_
_atom_site_label
_atom_site_type_symbol
_atom_site_fract_x
_atom_site_fract_y
_atom_site_fract_z
Cs1 Cs 0.000 0.000 0.500
Sr1 Sr 0.500 0.500 0.500
F1 F 0.000 0.000 0.000
# - electronic total energy (hartree per atom) = -0.076